[1]
! TlC3 (GGA-PBE, relaxed); values from VASP
&SYSTEM
  ibrav = 0, nat = 4, ntyp = 2
/
ATOMIC_SPECIES
C 12.01 C.upf
Tl 204.38 Tl.upf
ATOMIC_POSITIONS crystal
C 0.500 0.500 0.250
C 0.000 0.000 0.121
Tl 0.500 0.500 0.750
C 0.000 0.000 0.379
CELL_PARAMETERS angstrom
3.326 0.000 0.000
0.000 3.326 0.000
0.000 0.000 5.052
! DFT total energy in eV/atom: -4.92
! ΔE_f in eV/f.u.: 10.3
! Total magnetic moment in μB/f.u.: 0.000
! SG: No. 123
! Fermi-level density of states in states/eV/cell: 0.47

---

[2]
! Al3CuPb2Au12 (GGA-PBE, relaxed); values from VASP
&SYSTEM
  ibrav = 0, nat = 18, ntyp = 4
/
ATOMIC_SPECIES
Al 26.98 Al.upf
Au 196.97 Au.upf
Pb 207.20 Pb.upf
Cu 63.55 Cu.upf
ATOMIC_POSITIONS crystal
Al 0.500 0.000 0.000
Au 0.872 0.872 0.375
Au 0.128 0.625 0.128
Au 0.374 0.374 0.877
Pb 0.375 0.375 0.375
Au 0.877 0.374 0.374
Au 0.123 0.626 0.626
Au 0.128 0.128 0.625
Au 0.375 0.872 0.872
Al 0.000 0.500 0.000
Al 0.000 0.000 0.500
Au 0.626 0.626 0.123
Au 0.872 0.375 0.872
Au 0.374 0.877 0.374
Pb 0.625 0.625 0.625
Cu 0.000 0.000 0.000
Au 0.626 0.123 0.626
Au 0.625 0.128 0.128
CELL_PARAMETERS angstrom
-0.505 -0.401 -8.190
3.362 -6.437 -3.840
-4.969 -5.609 -3.367
! DFT total energy in eV/atom: -3.45
! ΔE_f in eV/f.u.: 0.0
! Total magnetic moment in μB/f.u.: 0.000
! SG: No. 166
! Fermi-level density of states in states/eV/cell: 7.57

---

[3]
! PmHo3Ru (GGA-PBE, relaxed); values from VASP
&SYSTEM
  ibrav = 0, nat = 10, ntyp = 3
/
ATOMIC_SPECIES
Ho 164.93 Ho.upf
Pm 145.00 Pm.upf
Ru 101.07 Ru.upf
ATOMIC_POSITIONS crystal
Ho 0.133 0.268 0.000
Ho 0.366 0.731 0.250
Ho 0.634 0.269 0.750
Pm 0.640 0.281 0.250
Ho 0.867 0.732 0.000
Ru 0.004 0.009 0.750
Pm 0.360 0.719 0.750
Ho 0.133 0.268 0.500
Ho 0.867 0.732 0.500
Ru 0.996 0.991 0.250
CELL_PARAMETERS angstrom
-2.320 -3.954 1.815
5.614 1.233 3.112
-4.687 5.611 6.232
! DFT total energy in eV/atom: -5.68
! ΔE_f in eV/f.u.: -0.6
! Total magnetic moment in μB/f.u.: 0.000
! SG: No. 11
! Fermi-level density of states in states/eV/cell: 9.05

---

[4]
! Rb2InReTc (GGA-PBE, relaxed); values from VASP
&SYSTEM
  ibrav = 0, nat = 5, ntyp = 4
/
ATOMIC_SPECIES
Re 186.21 Re.upf
Rb 85.47 Rb.upf
Tc 98.00 Tc.upf
In 114.82 In.upf
ATOMIC_POSITIONS crystal
Re 0.000 0.500 0.000
Rb 0.000 0.000 0.500
Rb 0.500 0.000 0.000
Tc 0.000 0.000 0.000
In 0.500 0.500 0.500
CELL_PARAMETERS angstrom
6.635 0.000 0.000
0.000 4.521 0.000
0.000 0.000 6.635
! DFT total energy in eV/atom: -4.00
! ΔE_f in eV/f.u.: 7.5
! Total magnetic moment in μB/f.u.: 0.430
! SG: No. 123
! Fermi-level density of states in states/eV/cell: 8.14

---

[5]
! HoPaZnNi (GGA-PBE, relaxed); values from VASP
&SYSTEM
  ibrav = 0, nat = 4, ntyp = 4
/
ATOMIC_SPECIES
Pa 231.04 Pa.upf
Ni 58.69 Ni.upf
Ho 164.93 Ho.upf
Zn 65.41 Zn.upf
ATOMIC_POSITIONS crystal
Pa 0.500 0.500 0.500
Ni 0.750 0.750 0.750
Ho 0.000 0.000 0.000
Zn 0.250 0.250 0.250
CELL_PARAMETERS angstrom
-0.802 0.159 -4.814
-4.539 -0.481 -1.736
-2.280 3.842 -1.970
! DFT total energy in eV/atom: -5.37
! ΔE_f in eV/f.u.: -0.3
! Total magnetic moment in μB/f.u.: 0.001
! SG: No. 216
! Fermi-level density of states in states/eV/cell: 4.78

---

[6]
! SrMn2Pd (GGA-PBE, relaxed); values from VASP
&SYSTEM
  ibrav = 0, nat = 8, ntyp = 3
/
ATOMIC_SPECIES
Mn 54.94 Mn.upf
Sr 87.62 Sr.upf
Pd 106.42 Pd.upf
ATOMIC_POSITIONS crystal
Mn 0.875 0.125 0.250
Sr 0.250 0.750 0.500
Pd 0.000 0.000 0.000
Mn 0.875 0.125 0.750
Pd 0.750 0.250 0.500
Mn 0.375 0.125 0.750
Sr 0.500 0.500 0.000
Mn 0.875 0.625 0.250
CELL_PARAMETERS angstrom
-4.175 1.661 1.931
-0.770 -4.357 2.083
1.971 1.349 9.294
! DFT total energy in eV/atom: -5.84
! ΔE_f in eV/f.u.: 1.8
! Total magnetic moment in μB/f.u.: 7.767
! SG: No. 141
! Fermi-level density of states in states/eV/cell: 7.06

---

[7]
! PHAuS2 (GGA-PBE, relaxed); values from VASP
&SYSTEM
  ibrav = 0, nat = 5, ntyp = 4
/
ATOMIC_SPECIES
Au 196.97 Au.upf
P 30.97 P.upf
S 32.06 S.upf
H 1.01 H.upf
ATOMIC_POSITIONS crystal
Au 0.000 0.000 0.000
P 0.000 0.000 0.500
S 0.500 0.000 0.000
S 0.000 0.500 0.000
H 0.500 0.500 0.500
CELL_PARAMETERS angstrom
5.036 0.000 0.000
0.000 5.036 0.000
0.000 0.000 4.702
! DFT total energy in eV/atom: -2.64
! Total magnetic moment in μB/f.u.: 2.192
! SG: No. 123
! Fermi-level density of states in states/eV/cell: 3.63

---

[8]
! In2Sb (GGA-PBE, relaxed); values from VASP
&SYSTEM
  ibrav = 0, nat = 9, ntyp = 2
/
ATOMIC_SPECIES
In 114.82 In.upf
Sb 121.76 Sb.upf
ATOMIC_POSITIONS crystal
In 0.738 0.738 0.000
In 0.416 0.416 0.500
Sb 0.000 0.000 0.500
Sb 0.333 0.667 0.000
In 0.000 0.262 0.000
In 0.262 0.000 0.000
In 0.584 0.000 0.500
Sb 0.667 0.333 0.000
In 0.000 0.584 0.500
CELL_PARAMETERS angstrom
1.503 8.007 -0.742
-6.482 -3.308 -3.736
-2.598 0.837 3.767
! DFT total energy in eV/atom: -3.16
! Total magnetic moment in μB/f.u.: 0.000
! Uncorrected formation energy in eV per atom: 0.036
! SG: No. 189
! Fermi-level density of states in states/eV/cell: 4.36